A.
Co2ReBr at its PBEsol-relaxed geometry. Source: Alexandria via LeMat-Bulk, functional SCAN.

Cell: 4.2171 4.2171 4.2171 Å, 60.00 60.00 60.00°
With the nearest neighbours (Å) after each atom.
Sites, in units of the cell vectors:
Re (0.5000, 0.5000, 0.5000)  8 Co 2.58
Co (0.2500, 0.2500, 0.2500)  4 Br 2.58, 4 Re 2.58
Co (0.7500, 0.7500, 0.7500)  4 Re 2.58, 4 Br 2.58
Br (0.0000, 0.0000, 0.0000)  8 Co 2.58

Properties
As for the space group: No. 225. The magnetization comes out at 0.00 μB per atom.

=====

B.
Co2ReBr at its PBEsol-relaxed geometry. Source: Alexandria via LeMat-Bulk, functional SCAN.

Cell: 2.8163 2.8163 8.1421 Å, 80.04 80.04 60.00°
With the nearest neighbours (Å) after each atom.
Sites, in units of the cell vectors:
Re (0.4944, 0.4944, 0.5168)  3 Co 2.52, 3 Br 2.76, 6 Re 2.82
Co (0.0043, 0.0043, 0.9871)  3 Co 2.44, 3 Br 2.58
Co (0.7471, 0.7471, 0.7586)  3 Co 2.44, 3 Re 2.52
Br (0.2541, 0.2541, 0.2376)  3 Co 2.58, 3 Re 2.76, 6 Br 2.82

Properties
As for the space group: No. 160. The magnetization comes out at 0.92 μB per atom.

=====

In terms of stability, B leads; the second structure lies 639 meV/atom higher.

=====

A.
CoSb2Br at its PBEsol-relaxed geometry. Source: Alexandria via LeMat-Bulk, functional SCAN.

Cell: 3.8572 3.8624 8.1053 Å, 103.65 90.00 119.96°
With the nearest neighbours (Å) after each atom.
Sites, in units of the cell vectors:
Sb (0.1183, 0.2366, 0.3520)  3 Co 2.51, 1 Br 2.75
Sb (0.8817, 0.7634, 0.6480)  3 Co 2.51, 1 Br 2.75
Co (0.5000, 0.0000, 0.5000)  6 Sb 2.51
Br (0.0000, 0.0000, 0.0000)  2 Sb 2.75

Properties
As for the space group: No. 12. The magnetization comes out at 0.00 μB per atom.

=====

B.
CoSb2Br at its PBEsol-relaxed geometry. Source: Alexandria via LeMat-Bulk, functional SCAN.

Cell: 3.2102 3.2105 7.9985 Å, 90.00 90.08 90.00°
With the nearest neighbours (Å) after each atom.
Sites, in units of the cell vectors:
Sb (0.0009, 0.0000, 0.6926)  4 Co 2.74
Sb (0.9991, 0.0000, 0.3074)  4 Co 2.74
Co (0.5000, 0.5000, 0.5000)  8 Sb 2.74
Br (0.5000, 0.5000, 0.0000)  4 Br 3.21, 8 Sb 3.34-3.35

Properties
As for the space group: No. 10. The magnetization comes out at 0.28 μB per atom.

=====

C.
CoSb2Br at its PBEsol-relaxed geometry. Source: Alexandria via LeMat-Bulk, functional SCAN.

Cell: 3.1683 4.7753 6.3944 Å, 111.93 104.34 90.00°
With the nearest neighbours (Å) after each atom.
Sites, in units of the cell vectors:
Sb (0.8187, 0.8187, 0.6373)  2 Co 2.61
Sb (0.1813, 0.1813, 0.3627)  2 Co 2.61
Co (0.5000, 0.0000, 0.0000)  4 Sb 2.61, 4 Br 2.87
Br (0.0000, 0.5000, 0.0000)  4 Co 2.87, 4 Sb 3.16, 2 Br 3.17

Properties
As for the space group: No. 71. The magnetization comes out at 0.40 μB per atom.

=====

In terms of stability, A leads; the second structure lies 239 meV/atom higher.